Density functional theory data (PBE-GGA) for PaGe2Sb after structural relaxation.

Cell: 4.8042 4.8042 13.6564 Å, 90.00 90.00 120.00°
Space group R-3m (No. 166, hexagonal axes)
One atom of each set of equivalent atoms:
Pa 0.0000 0.0000 0.0000 [3 per cell]
Ge 0.0000 0.0000 0.2360 [6 per cell]
Sb 0.0000 0.0000 0.5000 [3 per cell]

Calculated values
Calculated volume   273 Å³ per cell
Total magnetization   0.40 μB/f.u.
Total DFT energy (no corrections)   -5.6689 eV/atom
Density   9.09 g cm⁻³
Crystal system   trigonal
E_form (uncorrected)   0.18 eV/f.u.
Energy above the most stable polymorph in this dataset   169.1 kJ/mol of formula units